(1)
CeH2Rh: relaxed, PBE.

Results
Spin magnetization: 0.856 μB/f.u.
Calculated density: 8.28 Mg/m³
E_tot: -5.54 eV/atom

Lattice parameters (Å, degrees): 3.5371 3.7267 3.7264 90.00 90.13 90.00
Space group P2/m (No. 10)
Symmetry-distinct sites (fractional):
1 Ce 0.0000 0.0000 0.0000
2 H 0.5000 0.0000 0.5000
3 H 0.5000 0.5000 0.0000
4 Rh 0.5000 0.5000 0.5000


(2)
Ce2HRh6: relaxed, PBE.

Results
Spin magnetization: 0.000 μB/f.u.
Calculated density: 10.96 Mg/m³
E_tot: -7.20 eV/atom

Lattice parameters (Å, degrees): 8.1668 8.1668 8.1668 90.00 90.00 90.00
Space group Fm-3m (No. 225)
Symmetry-distinct sites (fractional):
1 Ce 0.2500 0.2500 0.2500
2 H 0.0000 0.0000 0.0000
3 Rh 0.0000 0.0000 0.2516


(3)
CeH3Rh2: relaxed, PBE.

Results
Spin magnetization: 0.000 μB/f.u.
Calculated density: 7.87 Mg/m³
E_tot: -5.50 eV/atom

Lattice parameters (Å, degrees): 6.9341 7.7746 5.4647 90.00 90.00 90.00
Space group Cmcm (No. 63)
Symmetry-distinct sites (fractional):
1 Ce 0.0000 0.1990 0.2500
2 H 0.0000 0.4882 0.7500
3 H 0.1589 0.0844 0.7500
4 Rh 0.2045 0.5000 0.0000